# MnRe2SbSe SCAN single point on PBEsol structure
data_MnRe2SbSe
_chemical_formula_sum 'Mn1 Re2 Sb1 Se1'
_symmetry_space_group_name_H-M 'P 4/m m m'
_symmetry_Int_Tables_number 123
_symmetry_space_group_name_Hall '-P 4 2'
_cell_length_a 4.909
_cell_length_b 4.909
_cell_length_c 5.247
_cell_angle_alpha 90.00
_cell_angle_beta 90.00
_cell_angle_gamma 90.00
loop_
_atom_site_label
_atom_site_fract_x
_atom_site_fract_y
_atom_site_fract_z
Mn1 0.000 0.000 0.000
Re1 0.000 0.500 0.500
Sb1 0.500 0.500 0.500
Se1 0.500 0.500 0.000
# Electronic total energy, eV per atom: -41.37
# Uncorrected formation energy, eV per atom: 2.1865



# ScMn2Re SCAN single point on PBEsol structure
data_ScMn2Re
_chemical_formula_sum 'Sc2 Mn4 Re2'
_symmetry_space_group_name_H-M 'I -4 m 2'
_symmetry_Int_Tables_number 119
_symmetry_space_group_name_Hall 'I -4 -2'
_cell_length_a 3.583
_cell_length_b 3.583
_cell_length_c 8.603
_cell_angle_alpha 90.00
_cell_angle_beta 90.00
_cell_angle_gamma 90.00
loop_
_atom_site_label
_atom_site_fract_x
_atom_site_fract_y
_atom_site_fract_z
Sc1 0.000 0.000 0.000
Mn1 0.000 0.000 0.500
Mn2 0.000 0.500 0.250
Re1 0.000 0.500 0.750
# Electronic total energy, eV per atom: -30.26
# ΔE_f, eV/atom: 0.20



# ScMn2Re SCAN single point on PBEsol structure
data_ScMn2Re
_chemical_formula_sum 'Sc1 Mn2 Re1'
_symmetry_space_group_name_H-M 'P m m m'
_symmetry_Int_Tables_number 47
_cell_length_a 3.001
_cell_length_b 4.110
_cell_length_c 4.371
_cell_angle_alpha 90.00
_cell_angle_beta 90.00
_cell_angle_gamma 90.00
loop_
_symmetry_equiv_pos_as_xyz
'x,y,z'
'-x,-y,-z'
'-x,-y,z'
'x,y,-z'
'x,-y,-z'
'-x,y,z'
'-x,y,-z'
'x,-y,z'
loop_
_atom_site_label
_atom_site_fract_x
_atom_site_fract_y
_atom_site_fract_z
Sc1 0.000 0.000 0.000
Mn1 0.000 0.500 0.500
Mn2 0.500 0.500 0.000
Re1 0.500 0.000 0.500
# Electronic total energy, eV per atom: -30.38
# ΔE_f, eV/atom: 0.08



# Mn2ReSe SCAN single point on PBEsol structure
data_Mn2ReSe
_chemical_formula_sum 'Mn4 Re2 Se2'
_symmetry_space_group_name_H-M 'C m m 2'
_symmetry_Int_Tables_number 35
_cell_length_a 3.014
_cell_length_b 4.411
_cell_length_c 8.558
_cell_angle_alpha 90.00
_cell_angle_beta 90.00
_cell_angle_gamma 90.00
loop_
_symmetry_equiv_pos_as_xyz
'x,y,z'
'-x,-y,z'
'-x,y,z'
'x,-y,z'
'x+1/2,y+1/2,z'
'-x+1/2,-y+1/2,z'
'-x+1/2,y+1/2,z'
'x+1/2,-y+1/2,z'
loop_
_atom_site_label
_atom_site_fract_x
_atom_site_fract_y
_atom_site_fract_z
Mn1 0.000 0.000 0.000
Mn2 0.000 0.500 0.230
Re1 0.000 0.500 0.778
Se1 0.000 0.000 0.455
# Electronic total energy, eV per atom: -31.52
# Uncorrected formation energy, eV per atom: 0.4041



# Mn2ReSe SCAN single point on PBEsol structure
data_Mn2ReSe
_chemical_formula_sum 'Mn4 Re2 Se2'
_symmetry_space_group_name_H-M 'C 1 m 1'
_symmetry_Int_Tables_number 8
_cell_length_a 8.371
_cell_length_b 2.825
_cell_length_c 4.478
_cell_angle_alpha 90.00
_cell_angle_beta 95.32
_cell_angle_gamma 90.00
loop_
_symmetry_equiv_pos_as_xyz
'x,y,z'
'x,-y,z'
'x+1/2,y+1/2,z'
'x+1/2,-y+1/2,z'
loop_
_atom_site_label
_atom_site_fract_x
_atom_site_fract_y
_atom_site_fract_z
Mn1 0.000 0.000 0.000
Mn2 0.238 0.500 0.275
Re1 0.263 0.000 0.799
Se1 0.483 0.000 0.437
# Electronic total energy, eV per atom: -31.68
# Uncorrected formation energy, eV per atom: 0.2442



# Mn2ReSe SCAN single point on PBEsol structure
data_Mn2ReSe
_chemical_formula_sum 'Mn6 Re3 Se3'
_symmetry_space_group_name_H-M 'R 3 m'
_symmetry_Int_Tables_number 160
_symmetry_space_group_name_Hall 'R 3 -2"'
_cell_length_a 2.7453
_cell_length_b 2.7453
_cell_length_c 23.8635
_cell_angle_alpha 90.00
_cell_angle_beta 90.00
_cell_angle_gamma 120.00
loop_
_atom_site_label
_atom_site_fract_x
_atom_site_fract_y
_atom_site_fract_z
Mn1 0.0000 0.0000 0.0000
Mn2 0.0000 0.0000 0.2538
Re1 0.0000 0.0000 0.5056
Se1 0.0000 0.0000 0.7407
# Electronic total energy, eV per atom: -31.55
# Uncorrected formation energy, eV per atom: 0.3735



# MnRe2Si SCAN single point on PBEsol structure
data_MnRe2Si
_chemical_formula_sum 'Mn1 Re2 Si1'
_symmetry_space_group_name_H-M 'P 4 m m'
_symmetry_Int_Tables_number 99
_cell_length_a 2.841
_cell_length_b 2.841
_cell_length_c 6.270
_cell_angle_alpha 90.00
_cell_angle_beta 90.00
_cell_angle_gamma 90.00
loop_
_symmetry_equiv_pos_as_xyz
'x,y,z'
'-y,x,z'
'-x,-y,z'
'y,-x,z'
'-x,y,z'
'y,x,z'
'x,-y,z'
'-y,-x,z'
loop_
_atom_site_label
_atom_site_fract_x
_atom_site_fract_y
_atom_site_fract_z
Mn1 0.000 0.000 0.000
Re1 0.000 0.000 0.543
Re2 0.500 0.500 0.256
Si1 0.500 0.500 0.799
# Electronic total energy, eV per atom: -42.77
# Uncorrected formation energy, eV per atom: -0.1505



# MnReSi2 SCAN single point on PBEsol structure
data_MnReSi2
_chemical_formula_sum 'Mn1 Re1 Si2'
_symmetry_space_group_name_H-M 'P 4/m m m'
_symmetry_Int_Tables_number 123
_symmetry_space_group_name_Hall '-P 4 2'
_cell_length_a 4.066
_cell_length_b 4.066
_cell_length_c 2.910
_cell_angle_alpha 90.00
_cell_angle_beta 90.00
_cell_angle_gamma 90.00
loop_
_atom_site_label
_atom_site_fract_x
_atom_site_fract_y
_atom_site_fract_z
Mn1 0.000 0.000 0.000
Re1 0.500 0.500 0.000
Si1 0.000 0.500 0.500
# Electronic total energy, eV per atom: -27.57
# Uncorrected formation energy, eV per atom: -0.2229
# Relative energy among the computed polymorphs, meV/atom: 15.4



# MnReSi2 SCAN single point on PBEsol structure
data_MnReSi2
_chemical_formula_sum 'Mn1 Re1 Si2'
_symmetry_space_group_name_H-M 'P 4 m m'
_symmetry_Int_Tables_number 99
_cell_length_a 3.028
_cell_length_b 3.028
_cell_length_c 5.331
_cell_angle_alpha 90.00
_cell_angle_beta 90.00
_cell_angle_gamma 90.00
loop_
_symmetry_equiv_pos_as_xyz
'x,y,z'
'-y,x,z'
'-x,-y,z'
'y,-x,z'
'-x,y,z'
'y,x,z'
'x,-y,z'
'-y,-x,z'
loop_
_atom_site_label
_atom_site_fract_x
_atom_site_fract_y
_atom_site_fract_z
Mn1 0.000 0.000 0.000
Re1 0.500 0.500 0.323
Si1 0.000 0.000 0.546
Si2 0.500 0.500 0.809
# Electronic total energy, eV per atom: -27.58
# Uncorrected formation energy, eV per atom: -0.2383
# Relative energy among the computed polymorphs, meV/atom: 0.0



# MnRe2Si SCAN single point on PBEsol structure
data_MnRe2Si
_chemical_formula_sum 'Mn2 Re4 Si2'
_symmetry_space_group_name_H-M 'I m m 2'
_symmetry_Int_Tables_number 44
_cell_length_a 2.880
_cell_length_b 4.190
_cell_length_c 8.411
_cell_angle_alpha 90.00
_cell_angle_beta 90.00
_cell_angle_gamma 90.00
loop_
_symmetry_equiv_pos_as_xyz
'x,y,z'
'-x,-y,z'
'-x,y,z'
'x,-y,z'
'x+1/2,y+1/2,z+1/2'
'-x+1/2,-y+1/2,z+1/2'
'-x+1/2,y+1/2,z+1/2'
'x+1/2,-y+1/2,z+1/2'
loop_
_atom_site_label
_atom_site_fract_x
_atom_site_fract_y
_atom_site_fract_z
Mn1 0.000 0.000 0.000
Re1 0.000 0.000 0.467
Re2 0.000 0.500 0.238
Si1 0.000 0.500 0.722
# Electronic total energy, eV per atom: -42.80
# Uncorrected formation energy, eV per atom: -0.1866



# Mn3ReSn SCAN single point on PBEsol structure
data_Mn3ReSn
_chemical_formula_sum 'Mn3 Re1 Sn1'
_symmetry_space_group_name_H-M 'P m -3 m'
_symmetry_Int_Tables_number 221
_symmetry_space_group_name_Hall '-P 4 2 3'
_cell_length_a 4.544
_cell_length_b 4.544
_cell_length_c 4.544
_cell_angle_alpha 90.00
_cell_angle_beta 90.00
_cell_angle_gamma 90.00
loop_
_atom_site_label
_atom_site_fract_x
_atom_site_fract_y
_atom_site_fract_z
Mn1 0.000 0.000 0.500
Re1 0.000 0.000 0.000
Sn1 0.500 0.500 0.500
# Electronic total energy, eV per atom: -31.44
# ΔE_f, eV/atom: 0.92



# Sr3MnRe SCAN single point on PBEsol structure
data_Sr3MnRe
_chemical_formula_sum 'Sr3 Mn1 Re1'
_symmetry_space_group_name_H-M 'P m -3 m'
_symmetry_Int_Tables_number 221
_symmetry_space_group_name_Hall '-P 4 2 3'
_cell_length_a 5.566
_cell_length_b 5.566
_cell_length_c 5.566
_cell_angle_alpha 90.00
_cell_angle_beta 90.00
_cell_angle_gamma 90.00
loop_
_atom_site_label
_atom_site_fract_x
_atom_site_fract_y
_atom_site_fract_z
Sr1 0.000 0.000 0.500
Mn1 0.000 0.000 0.000
Re1 0.500 0.500 0.500
# Electronic total energy, eV per atom: -29.70
# ΔE_f, eV/atom: 1.54



# Ta4MnRe SCAN single point on PBEsol structure
data_Ta4MnRe
_chemical_formula_sum 'Ta16 Mn4 Re4'
_symmetry_space_group_name_H-M 'F -4 3 m'
_symmetry_Int_Tables_number 216
_symmetry_space_group_name_Hall 'F -4 2 3'
_cell_length_a 7.450
_cell_length_b 7.450
_cell_length_c 7.450
_cell_angle_alpha 90.00
_cell_angle_beta 90.00
_cell_angle_gamma 90.00
loop_
_atom_site_label
_atom_site_fract_x
_atom_site_fract_y
_atom_site_fract_z
Ta1 0.124 0.124 0.124
Mn1 0.000 0.000 0.500
Re1 0.250 0.250 0.750
# Electronic total energy, eV per atom: -58.93
# ΔE_f, eV/atom: 0.35



# Ta2MnRe SCAN single point on PBEsol structure
data_Ta2MnRe
_chemical_formula_sum 'Ta2 Mn1 Re1'
_symmetry_space_group_name_H-M 'P 4 m m'
_symmetry_Int_Tables_number 99
_cell_length_a 3.117
_cell_length_b 3.117
_cell_length_c 6.219
_cell_angle_alpha 90.00
_cell_angle_beta 90.00
_cell_angle_gamma 90.00
loop_
_symmetry_equiv_pos_as_xyz
'x,y,z'
'-y,x,z'
'-x,-y,z'
'y,-x,z'
'-x,y,z'
'y,x,z'
'x,-y,z'
'-y,-x,z'
loop_
_atom_site_label
_atom_site_fract_x
_atom_site_fract_y
_atom_site_fract_z
Ta1 0.000 0.000 0.000
Ta2 0.500 0.500 0.280
Mn1 0.000 0.000 0.514
Re1 0.500 0.500 0.750
# Electronic total energy, eV per atom: -55.75
# ΔE_f, eV/atom: -0.12



# Ta2MnRe SCAN single point on PBEsol structure
data_Ta2MnRe
_chemical_formula_sum 'Ta4 Mn2 Re2'
_symmetry_space_group_name_H-M 'I m m m'
_symmetry_Int_Tables_number 71
_symmetry_space_group_name_Hall '-I 2 2'
_cell_length_a 3.142
_cell_length_b 4.527
_cell_length_c 8.467
_cell_angle_alpha 90.00
_cell_angle_beta 90.00
_cell_angle_gamma 90.00
loop_
_atom_site_label
_atom_site_fract_x
_atom_site_fract_y
_atom_site_fract_z
Ta1 0.000 0.000 0.245
Mn1 0.000 0.500 0.500
Re1 0.000 0.500 0.000
# Electronic total energy, eV per atom: -55.76
# ΔE_f, eV/atom: -0.13



# Ta2MnRe SCAN single point on PBEsol structure
data_Ta2MnRe
_chemical_formula_sum 'Ta8 Mn4 Re4'
_symmetry_space_group_name_H-M 'F m -3 m'
_symmetry_Int_Tables_number 225
_symmetry_space_group_name_Hall '-F 4 2 3'
_cell_length_a 6.217
_cell_length_b 6.217
_cell_length_c 6.217
_cell_angle_alpha 90.00
_cell_angle_beta 90.00
_cell_angle_gamma 90.00
loop_
_atom_site_label
_atom_site_fract_x
_atom_site_fract_y
_atom_site_fract_z
Ta1 0.250 0.250 0.250
Mn1 0.000 0.000 0.000
Re1 0.000 0.000 0.500
# Electronic total energy, eV per atom: -56.04
# ΔE_f, eV/atom: -0.41



# Ta2MnRe SCAN single point on PBEsol structure
data_Ta2MnRe
_chemical_formula_sum 'Ta2 Mn1 Re1'
_symmetry_space_group_name_H-M 'P 4/m m m'
_symmetry_Int_Tables_number 123
_symmetry_space_group_name_Hall '-P 4 2'
_cell_length_a 3.107
_cell_length_b 3.107
_cell_length_c 6.202
_cell_angle_alpha 90.00
_cell_angle_beta 90.00
_cell_angle_gamma 90.00
loop_
_atom_site_label
_atom_site_fract_x
_atom_site_fract_y
_atom_site_fract_z
Ta1 0.000 0.000 0.242
Mn1 0.500 0.500 0.000
Re1 0.500 0.500 0.500
# Electronic total energy, eV per atom: -56.04
# ΔE_f, eV/atom: -0.41



# TaMn4Re SCAN single point on PBEsol structure
data_TaMn4Re
_chemical_formula_sum 'Ta4 Mn16 Re4'
_symmetry_space_group_name_H-M 'F -4 3 m'
_symmetry_Int_Tables_number 216
_symmetry_space_group_name_Hall 'F -4 2 3'
_cell_length_a 6.624
_cell_length_b 6.624
_cell_length_c 6.624
_cell_angle_alpha 90.00
_cell_angle_beta 90.00
_cell_angle_gamma 90.00
loop_
_atom_site_label
_atom_site_fract_x
_atom_site_fract_y
_atom_site_fract_z
Ta1 0.000 0.000 0.000
Mn1 0.127 0.127 0.627
Re1 0.250 0.250 0.250
# Electronic total energy, eV per atom: -35.19
# ΔE_f, eV/atom: -0.07



# Ta2MnRe SCAN single point on PBEsol structure
data_Ta2MnRe
_chemical_formula_sum 'Ta6 Mn3 Re3'
_symmetry_space_group_name_H-M 'R -3 m'
_symmetry_Int_Tables_number 166
_symmetry_space_group_name_Hall '-R 3 2"'
_cell_length_a 2.9776
_cell_length_b 2.9776
_cell_length_c 24.1186
_cell_angle_alpha 90.00
_cell_angle_beta 90.00
_cell_angle_gamma 120.00
loop_
_atom_site_label
_atom_site_fract_x
_atom_site_fract_y
_atom_site_fract_z
Ta1 0.0000 0.0000 0.2456
Mn1 0.0000 0.0000 0.5000
Re1 0.0000 0.0000 0.0000
# Electronic total energy, eV per atom: -55.50
# ΔE_f, eV/atom: 0.13



# Ta2MnRe SCAN single point on PBEsol structure
data_Ta2MnRe
_chemical_formula_sum 'Ta4 Mn2 Re2'
_symmetry_space_group_name_H-M 'C m m 2'
_symmetry_Int_Tables_number 35
_cell_length_a 3.204
_cell_length_b 4.438
_cell_length_c 8.539
_cell_angle_alpha 90.00
_cell_angle_beta 90.00
_cell_angle_gamma 90.00
loop_
_symmetry_equiv_pos_as_xyz
'x,y,z'
'-x,-y,z'
'-x,y,z'
'x,-y,z'
'x+1/2,y+1/2,z'
'-x+1/2,-y+1/2,z'
'-x+1/2,y+1/2,z'
'x+1/2,-y+1/2,z'
loop_
_atom_site_label
_atom_site_fract_x
_atom_site_fract_y
_atom_site_fract_z
Ta1 0.000 0.000 0.000
Ta2 0.000 0.500 0.280
Mn1 0.000 0.000 0.518
Re1 0.000 0.500 0.738
# Electronic total energy, eV per atom: -55.69
# ΔE_f, eV/atom: -0.06